## w
Li2AsSe | PBEsol | relaxed

Cell: 5.359 5.751 5.751 Å, 77.46 62.23 62.23°
Positions (direct):
Li 0.875 0.477 0.023
Li 0.102 0.023 0.523
Li 0.375 0.523 0.977
Li 0.648 0.977 0.477
As 0.250 0.500 0.500
As 0.500 0.000 0.000
Se 0.000 0.000 0.000
Se 0.750 0.500 0.500

Calculated values
total moment	0.0	μB per formula unit
V	17.35	Å³ per atom
space-group type	I-42d, No. 122
density of states at the Fermi level	4.45	states/eV/cell

=====

## x
Li2AsSe | PBEsol | relaxed

Cell: 4.097 4.104 4.865 Å, 114.95 114.90 90.00°
Positions (direct):
Li 0.250 0.250 0.500
Li 0.750 0.750 0.500
As 0.000 0.500 0.000
Se 0.500 0.000 0.000

Calculated values
total moment	0.0	μB per formula unit
V	16.42	Å³ per atom
space-group type	I4/mmm, No. 139
density of states at the Fermi level	1.25	states/eV/cell

=====

What is the stability order? It is x, w, from most stable to least stable.